! PBE CeTlInPb, relaxed; values from VASP
! energy relative to the lowest polymorph listed for this composition	0.0	meV/atom
! energy of formation	-0.34	eV per atom
! DFT total energy	-16.09	eV/f.u.
! size of the total moment	0.23	μB/atom
&SYSTEM
  ibrav = 0, nat = 4, ntyp = 4
/
ATOMIC_SPECIES
Ce 140.12 Ce.upf
Pb 207.20 Pb.upf
In 114.82 In.upf
Tl 204.38 Tl.upf
ATOMIC_POSITIONS crystal
Ce 0.000 0.500 0.500
Pb 0.500 0.500 0.000
In 0.500 0.000 0.500
Tl 0.000 0.000 0.000
CELL_PARAMETERS angstrom
4.752 0.000 0.000
0.000 4.974 0.000
0.000 0.000 4.707

! PBE CeTlInPb, relaxed; values from VASP
! energy relative to the lowest polymorph listed for this composition	215.8	meV/atom
! energy of formation	-0.12	eV per atom
! DFT total energy	-15.22	eV/f.u.
! size of the total moment	0.33	μB/atom
&SYSTEM
  ibrav = 0, nat = 4, ntyp = 4
/
ATOMIC_SPECIES
Tl 204.38 Tl.upf
Pb 207.20 Pb.upf
In 114.82 In.upf
Ce 140.12 Ce.upf
ATOMIC_POSITIONS crystal
Tl 0.000 0.000 0.000
Pb 0.250 0.250 0.250
In 0.500 0.500 0.500
Ce 0.750 0.750 0.750
CELL_PARAMETERS angstrom
-4.588 -2.990 0.692
-0.580 -3.167 4.483
-3.638 1.392 3.911

! PBE Ce4In12Pd, relaxed; values from VASP
! energy of formation	-0.42	eV per atom
! DFT total energy	-69.01	eV/f.u.
! size of the total moment	0.23	μB/atom
&SYSTEM
  ibrav = 0, nat = 17, ntyp = 3
/
ATOMIC_SPECIES
In 114.82 In.upf
Ce 140.12 Ce.upf
Pd 106.42 Pd.upf
ATOMIC_POSITIONS crystal
In 0.250 0.750 0.500
In 0.285 0.000 0.285
In 0.500 0.250 0.750
In 0.250 0.500 0.750
Ce 0.000 0.500 0.000
In 0.750 0.500 0.250
Ce 0.500 0.500 0.500
In 0.000 0.715 0.715
Ce 0.500 0.000 0.000
In 0.750 0.250 0.500
In 0.000 0.285 0.285
In 0.285 0.285 0.000
Pd 0.000 0.000 0.000
In 0.715 0.000 0.715
In 0.500 0.750 0.250
Ce 0.000 0.000 0.500
In 0.715 0.715 0.000
CELL_PARAMETERS angstrom
7.777 0.000 -2.750
-3.888 6.735 -2.750
0.000 0.000 8.249

! PBE CeIn4Pd2, relaxed; values from VASP
! energy relative to the lowest polymorph listed for this composition	0.0	meV/atom
! energy of formation	-0.53	eV per atom
! DFT total energy	-31.00	eV/f.u.
! size of the total moment	0.11	μB/atom
&SYSTEM
  ibrav = 0, nat = 28, ntyp = 3
/
ATOMIC_SPECIES
In 114.82 In.upf
Ce 140.12 Ce.upf
Pd 106.42 Pd.upf
ATOMIC_POSITIONS crystal
In 0.250 0.763 0.192
Ce 0.250 0.976 0.360
In 0.750 0.675 0.315
In 0.750 0.825 0.815
Ce 0.750 0.476 0.140
In 0.250 0.504 0.429
In 0.750 0.237 0.808
In 0.750 0.004 0.071
Pd 0.750 0.535 0.717
In 0.750 0.154 0.465
Pd 0.250 0.035 0.783
Pd 0.750 0.965 0.217
In 0.250 0.654 0.035
Ce 0.750 0.024 0.640
Ce 0.250 0.524 0.860
Pd 0.250 0.465 0.283
In 0.250 0.175 0.185
In 0.250 0.325 0.685
In 0.250 0.737 0.692
In 0.750 0.263 0.308
Pd 0.750 0.757 0.461
In 0.750 0.496 0.571
Pd 0.750 0.743 0.961
In 0.750 0.346 0.965
In 0.250 0.846 0.535
Pd 0.250 0.243 0.539
In 0.250 0.996 0.929
Pd 0.250 0.257 0.039
CELL_PARAMETERS angstrom
4.634 0.000 0.000
0.000 7.211 0.000
0.000 0.000 18.624

! PBE CeInPd6, relaxed; values from VASP
! energy relative to the lowest polymorph listed for this composition	0.0	meV/atom
! energy of formation	-0.66	eV per atom
! DFT total energy	-45.11	eV/f.u.
! size of the total moment	0.02	μB/atom
&SYSTEM
  ibrav = 0, nat = 8, ntyp = 3
/
ATOMIC_SPECIES
Pd 106.42 Pd.upf
Ce 140.12 Ce.upf
In 114.82 In.upf
ATOMIC_POSITIONS crystal
Pd 0.500 0.000 0.247
Pd 0.000 0.500 0.247
Ce 0.000 0.000 0.500
Pd 0.500 0.500 0.000
Pd 0.000 0.500 0.753
Pd 0.500 0.000 0.753
In 0.000 0.000 0.000
Pd 0.500 0.500 0.500
CELL_PARAMETERS angstrom
-1.933 -1.900 3.095
2.750 -3.056 -0.159
4.684 3.937 5.344

! PBE Ce3In12Pd, relaxed; values from VASP
! energy of formation	-0.33	eV per atom
! DFT total energy	-61.13	eV/f.u.
! size of the total moment	0.14	μB/atom
&SYSTEM
  ibrav = 0, nat = 16, ntyp = 3
/
ATOMIC_SPECIES
Ce 140.12 Ce.upf
In 114.82 In.upf
Pd 106.42 Pd.upf
ATOMIC_POSITIONS crystal
Ce 0.000 0.000 0.762
Ce 0.000 0.000 0.500
In 0.500 0.500 0.000
In 0.500 0.000 0.631
In 0.000 0.500 0.892
In 0.500 0.500 0.500
In 0.500 0.500 0.244
In 0.000 0.500 0.631
In 0.500 0.000 0.892
Ce 0.000 0.000 0.238
In 0.500 0.000 0.108
In 0.500 0.500 0.756
In 0.000 0.500 0.369
Pd 0.000 0.000 0.000
In 0.000 0.500 0.108
In 0.500 0.000 0.369
CELL_PARAMETERS angstrom
-2.223 -2.356 -3.394
2.268 -3.917 1.234
-13.363 -4.086 11.589

! PBE Ce2In8Pd, relaxed; values from VASP
! energy of formation	-0.42	eV per atom
! DFT total energy	-43.64	eV/f.u.
! size of the total moment	0.11	μB/atom
&SYSTEM
  ibrav = 0, nat = 11, ntyp = 3
/
ATOMIC_SPECIES
In 114.82 In.upf
Ce 140.12 Ce.upf
Pd 106.42 Pd.upf
ATOMIC_POSITIONS crystal
In 0.000 0.500 0.875
Ce 0.000 0.000 0.308
In 0.500 0.500 0.691
In 0.500 0.000 0.125
In 0.000 0.500 0.125
In 0.500 0.000 0.500
In 0.000 0.500 0.500
Pd 0.000 0.000 0.000
Ce 0.000 0.000 0.692
In 0.500 0.500 0.309
In 0.500 0.000 0.875
CELL_PARAMETERS angstrom
-0.452 4.698 -0.264
-4.565 -0.503 -1.121
-2.968 0.384 11.915

! PBE Ce2InPd2, relaxed; values from VASP
! energy of formation	-0.75	eV per atom
! DFT total energy	-28.73	eV/f.u.
! size of the total moment	0.20	μB/atom
&SYSTEM
  ibrav = 0, nat = 10, ntyp = 3
/
ATOMIC_SPECIES
Ce 140.12 Ce.upf
In 114.82 In.upf
Pd 106.42 Pd.upf
ATOMIC_POSITIONS crystal
Ce 0.326 0.826 0.500
In 0.000 0.000 0.000
In 0.500 0.500 0.000
Pd 0.370 0.130 0.000
Ce 0.174 0.326 0.500
Ce 0.674 0.174 0.500
Pd 0.130 0.630 0.000
Pd 0.870 0.370 0.000
Ce 0.826 0.674 0.500
Pd 0.630 0.870 0.000
CELL_PARAMETERS angstrom
-4.264 -2.152 6.184
-3.100 -5.837 -4.168
2.818 -2.310 1.139